No. 1
The following is a PBE calculation of an optimized crystal structure of NaNiHg, from OQMD via LeMat-Bulk.

abc: 4.4637 4.4637 4.4637
angles: 60.00 60.00 60.00
Closest atoms and distances in Å follow each position.
Positions (direct):
Na 0.7500 0.7500 0.7500  4 Ni 2.73
Hg 0.2500 0.2500 0.2500  4 Ni 2.73
Ni 0.0000 0.0000 0.0000  4 Hg 2.73, 4 Na 2.73

Summary:
Its symmetry is F-43m, No. 216. Its raw total energy is -2.112 eV per atom. Its magnetic moment is 0.00 μB per atom. The calculated density comes out at 7.453 g/cm3.

***

No. 2
The following is a PBE calculation of an optimized crystal structure of Na2NiHgS4, from OQMD via LeMat-Bulk.

abc: 6.2709 6.2709 6.2709
angles: 116.26 116.26 96.60
Closest atoms and distances in Å follow each position.
Positions (direct):
S 0.1211 0.6517 0.0756  1 Ni 2.16
S 0.9545 0.8789 0.5307  1 Ni 2.16
S 0.3483 0.4238 0.4693  1 Ni 2.16
S 0.5762 0.0455 0.9244  1 Ni 2.16
Ni 0.2500 0.7500 0.5000  4 S 2.16
Na 0.5000 0.5000 0.0000  4 S 2.81
Na 0.7500 0.2500 0.5000  4 S 2.82
Hg 0.0000 0.0000 0.0000  4 S 2.56

Summary:
Its symmetry is I-4, No. 82. Its raw total energy is -3.497 eV per atom. Its magnetic moment is 0.19 μB per atom. The calculated density comes out at 3.936 g/cm3.

***

No. 3
The following is a PBE calculation of an optimized crystal structure of Na2NiHgSe4, from OQMD via LeMat-Bulk.

abc: 6.6150 6.6150 6.8840
angles: 121.35 121.35 85.21
Closest atoms and distances in Å follow each position.
Positions (direct):
Ni 0.2643 0.7357 0.5000  4 Se 2.27-2.28
Se 0.3619 0.0354 0.4695  1 Ni 2.28
Se 0.1359 0.4063 0.0722  1 Ni 2.27
Se 0.9646 0.6381 0.5305  1 Ni 2.28
Se 0.5937 0.8641 0.9278  1 Ni 2.27
Hg 0.0139 0.9861 0.0000  4 Se 2.67
Na 0.5146 0.4854 0.0000  4 Se 2.93
Na 0.7641 0.2359 0.5000  4 Se 2.93

Summary:
Its symmetry is C2, No. 5. Its raw total energy is -3.179 eV per atom. Its magnetic moment is 0.12 μB per atom. The calculated density comes out at 4.857 g/cm3.

***

No. 4
The following is a PBE calculation of an optimized crystal structure of Na2Hg2O3, from OQMD via LeMat-Bulk.

abc: 5.3557 5.3557 5.3557
angles: 69.36 69.36 69.36
Closest atoms and distances in Å follow each position.
Positions (direct):
Hg 0.7330 0.7330 0.7330  3 O 2.14
Hg 0.2670 0.2670 0.2670  3 O 2.14
O 0.0000 0.0000 0.5000  2 Hg 2.14
O 0.5000 0.0000 0.0000  2 Hg 2.14
O 0.0000 0.5000 0.0000  2 Hg 2.14
Na 0.5000 0.5000 0.5000  2 Hg 2.82, 6 O 3.05
Na 0.0000 0.0000 0.0000  6 O 2.68

Summary:
Its symmetry is R-3m, No. 166. Its raw total energy is -2.823 eV per atom. The calculated density comes out at 6.331 g/cm3.

***

No. 5
The following is a PBE calculation of an optimized crystal structure of Na4HgO3, from OQMD via LeMat-Bulk.

abc: 8.3677 8.3677 5.6882
angles: 92.18 92.18 140.79
Closest atoms and distances in Å follow each position.
Positions (direct):
O 0.2045 0.3825 0.9810  1 Hg 2.03, 1 Na 2.22
O 0.0092 0.5136 0.4793  6 Na 2.23-2.42
O 0.6266 0.8060 0.4840  1 Hg 2.02, 1 Na 2.21
O 0.8060 0.6266 0.9840  1 Hg 2.02, 1 Na 2.21
O 0.5136 0.0092 0.9793  6 Na 2.23-2.42
O 0.3825 0.2045 0.4810  1 Hg 2.03, 1 Na 2.22
Na 0.3109 0.7101 0.2315  4 O 2.25-2.48
Na 0.7101 0.3109 0.7315  4 O 2.25-2.48
Na 0.5094 0.5030 0.7336  4 O 2.21-2.44
Na 0.1653 0.8575 0.7342  4 O 2.41-2.51
Na 0.5030 0.5094 0.2336  4 O 2.21-2.44
Na 0.3296 0.6777 0.7299  4 O 2.23-2.37
Na 0.6777 0.3296 0.2299  4 O 2.23-2.37
Na 0.8575 0.1653 0.2342  4 O 2.41-2.51
Hg 0.9133 0.0930 0.7341  2 O 2.02-2.03
Hg 0.0930 0.9133 0.2341  2 O 2.02-2.03

Summary:
Its symmetry is Cc, No. 9. Its raw total energy is -3.633 eV per atom. The calculated density comes out at 4.521 g/cm3.

***

No. 6
The following is a PBE calculation of an optimized crystal structure of Na2Hg2O3, from OQMD via LeMat-Bulk.

abc: 6.3133 6.3133 6.3133
angles: 109.47 109.47 109.47
Closest atoms and distances in Å follow each position.
Positions (direct):
O 0.1254 0.7500 0.8754  2 Hg 2.34, 2 Na 2.36
O 0.2500 0.6246 0.3746  2 Hg 2.34, 2 Na 2.36
O 0.8754 0.1254 0.7500  2 Hg 2.34, 2 Na 2.36
O 0.7500 0.8754 0.1254  2 Hg 2.34, 2 Na 2.36
O 0.3746 0.2500 0.6246  2 Hg 2.34, 2 Na 2.36
O 0.6246 0.3746 0.2500  2 Hg 2.34, 2 Na 2.36
Hg 0.6165 0.6165 0.6165  3 O 2.34
Hg 0.0000 0.8835 0.5000  3 O 2.34
Hg 0.5000 0.0000 0.8835  3 O 2.34
Hg 0.8835 0.5000 0.0000  3 O 2.34
Na 0.0000 0.3781 0.5000  3 O 2.36
Na 0.5000 0.0000 0.3781  3 O 2.36
Na 0.1219 0.1219 0.1219  3 O 2.36
Na 0.3781 0.5000 0.0000  3 O 2.36

Summary:
Its symmetry is I2_13, No. 199. Its raw total energy is -3.225 eV per atom. The calculated density comes out at 8.489 g/cm3.

***

No. 7
The following is a PBE calculation of an optimized crystal structure of NaHg3PdO4, from OQMD via LeMat-Bulk.

abc: 5.4543 5.4543 5.4543
angles: 90.00 90.00 90.00
Closest atoms and distances in Å follow each position.
Positions (direct):
Hg 0.5000 0.5000 0.0000  4 O 2.37
Hg 0.5000 0.0000 0.5000  4 O 2.37
Hg 0.0000 0.5000 0.5000  4 O 2.37
O 0.2477 0.2477 0.2477  1 Na 2.34, 3 Hg 2.37, 1 Pd 2.38
O 0.2477 0.7523 0.7523  1 Na 2.34, 3 Hg 2.37, 1 Pd 2.38
O 0.7523 0.7523 0.2477  1 Na 2.34, 3 Hg 2.37, 1 Pd 2.38
O 0.7523 0.2477 0.7523  1 Na 2.34, 3 Hg 2.37, 1 Pd 2.38
Na 0.0000 0.0000 0.0000  4 O 2.34
Pd 0.5000 0.5000 0.5000  4 O 2.38

Summary:
Its symmetry is P-43m, No. 215. Its raw total energy is -3.127 eV per atom. The calculated density comes out at 8.138 g/cm3.

***

No. 8
The following is a PBE calculation of an optimized crystal structure of NaPrHgO3, from OQMD via LeMat-Bulk.

abc: 6.3282 6.3282 9.0957
angles: 90.00 90.00 34.84
Closest atoms and distances in Å follow each position.
Positions (direct):
O 0.3730 0.3730 0.4723  1 Hg 2.03
O 0.6270 0.6270 0.5277  1 Hg 2.03
O 0.6270 0.6270 0.9723  1 Hg 2.03
O 0.0446 0.0446 0.2500  2 Na 2.31, 2 Pr 2.34
O 0.9554 0.9554 0.7500  2 Na 2.31, 2 Pr 2.34
O 0.3730 0.3730 0.0277  1 Hg 2.03
Hg 0.3638 0.3638 0.2500  2 O 2.03
Hg 0.6362 0.6362 0.7500  2 O 2.03
Pr 0.0000 0.0000 0.0000  6 O 2.34-2.45
Pr 0.0000 0.0000 0.5000  6 O 2.34-2.45
Na 0.3453 0.3453 0.7500  4 O 2.31-2.55
Na 0.6547 0.6547 0.2500  4 O 2.31-2.55

Summary:
Its symmetry is Cmcm, No. 63. Its raw total energy is -5.273 eV per atom. Its magnetic moment is 0.00 μB per atom. The calculated density comes out at 6.584 g/cm3.

***

No. 9
The following is a PBE calculation of an optimized crystal structure of NaHg3PtO4, from OQMD via LeMat-Bulk.

abc: 5.5010 5.5010 5.5010
angles: 90.00 90.00 90.00
Closest atoms and distances in Å follow each position.
Positions (direct):
O 0.2475 0.2475 0.2475  1 Na 2.36, 3 Hg 2.39, 1 Pt 2.41
O 0.7525 0.2475 0.7525  1 Na 2.36, 3 Hg 2.39, 1 Pt 2.41
O 0.7525 0.7525 0.2475  1 Na 2.36, 3 Hg 2.39, 1 Pt 2.41
O 0.2475 0.7525 0.7525  1 Na 2.36, 3 Hg 2.39, 1 Pt 2.41
Na 0.0000 0.0000 0.0000  4 O 2.36
Hg 0.5000 0.0000 0.5000  4 O 2.39
Hg 0.5000 0.5000 0.0000  4 O 2.39
Hg 0.0000 0.5000 0.5000  4 O 2.39
Pt 0.5000 0.5000 0.5000  4 O 2.41

Summary:
Its symmetry is P-43m, No. 215. Its raw total energy is -3.115 eV per atom. Its magnetic moment is 0.19 μB per atom. The calculated density comes out at 8.816 g/cm3.

***

No. 10
The following is a PBE calculation of an optimized crystal structure of NaReHg3O4, from OQMD via LeMat-Bulk.

abc: 7.0366 7.0366 7.0366
angles: 90.00 90.00 90.00
Closest atoms and distances in Å follow each position.
Positions (direct):
Hg 0.5000 0.5000 0.0000  4 O 2.89
Hg 0.0000 0.5000 0.5000  4 O 2.89
Hg 0.5000 0.0000 0.5000  4 O 2.89
Re 0.5000 0.5000 0.5000  4 O 1.76
O 0.6448 0.6448 0.3552  1 Re 1.76
O 0.3552 0.3552 0.3552  1 Re 1.76
O 0.3552 0.6448 0.6448  1 Re 1.76
O 0.6448 0.3552 0.6448  1 Re 1.76
Na 0.0000 0.0000 0.0000  4 O 4.33

Summary:
Its symmetry is P-43m, No. 215. Its raw total energy is -4.602 eV per atom. Its magnetic moment is 0.00 μB per atom. The calculated density comes out at 4.170 g/cm3.

***

No. 11
The following is a PBE calculation of an optimized crystal structure of NaScHgO3, from OQMD via LeMat-Bulk.

abc: 3.3168 6.3797 8.3982
angles: 90.00 90.00 74.93
Closest atoms and distances in Å follow each position.
Positions (direct):
Sc 0.0000 0.0000 0.0000  6 O 2.12-2.18
Sc 0.0000 0.0000 0.5000  6 O 2.12-2.18
O 0.3851 0.2297 0.9901  1 Hg 2.04, 2 Sc 2.18, 1 Na 2.23
O 0.0218 0.9563 0.7500  2 Sc 2.12, 2 Na 2.31
O 0.9782 0.0437 0.2500  2 Sc 2.12, 2 Na 2.31
O 0.6149 0.7703 0.0099  1 Hg 2.04, 2 Sc 2.18, 1 Na 2.23
O 0.3851 0.2297 0.5099  1 Hg 2.04, 2 Sc 2.18, 1 Na 2.23
O 0.6149 0.7703 0.4901  1 Hg 2.04, 2 Sc 2.18, 1 Na 2.23
Hg 0.6384 0.7231 0.2500  2 O 2.04
Hg 0.3616 0.2769 0.7500  2 O 2.04
Na 0.6522 0.6956 0.7500  4 O 2.23-2.31
Na 0.3478 0.3044 0.2500  4 O 2.23-2.31

Summary:
Its symmetry is Cmcm, No. 63. Its raw total energy is -5.615 eV per atom. Its magnetic moment is 0.00 μB per atom. The calculated density comes out at 6.126 g/cm3.

***

No. 12
The following is a PBE calculation of an optimized crystal structure of NaTbHg3O4, from OQMD via LeMat-Bulk.

abc: 5.8101 5.8101 5.8101
angles: 90.00 90.00 90.00
Closest atoms and distances in Å follow each position.
Positions (direct):
Na 0.0000 0.0000 0.0000  4 O 2.84
Hg 0.5000 0.5000 0.0000  4 O 2.43
Hg 0.5000 0.0000 0.5000  4 O 2.43
Hg 0.0000 0.5000 0.5000  4 O 2.43
O 0.7176 0.7176 0.2824  1 Tb 2.19, 3 Hg 2.43
O 0.7176 0.2824 0.7176  1 Tb 2.19, 3 Hg 2.43
O 0.2824 0.7176 0.7176  1 Tb 2.19, 3 Hg 2.43
O 0.2824 0.2824 0.2824  1 Tb 2.19, 3 Hg 2.43
Tb 0.5000 0.5000 0.5000  4 O 2.19

Summary:
Its symmetry is P-43m, No. 215. Its raw total energy is -3.881 eV per atom. Its magnetic moment is 0.00 μB per atom. The calculated density comes out at 7.177 g/cm3.

***

Among the records above, which one has the highest raw total energy? NaNiHg